Entry one
{"formula": "Ag2BrF", "functional": "PBEsol", "state": "relaxed", "lattice": [[-2.433, 2.433, 7.051], [2.433, -2.433, 7.051], [2.433, 2.433, -7.051]], "species": ["Ag", "Ag", "Ag", "Ag", "Br", "Br", "F", "F"], "fractional_positions": [[0.051, 0.625, 0.926], [0.375, 0.301, 0.426], [0.699, 0.125, 0.074], [0.875, 0.949, 0.574], [0.250, 0.750, 0.500], [0.500, 0.500, 0.000], [0.000, 0.000, 0.000], [0.750, 0.250, 0.500]]}


Entry two
{"formula": "Ag2BrF", "functional": "PBEsol", "state": "relaxed", "lattice": [[0.000, 3.216, 3.216], [3.216, 0.000, 3.216], [3.216, 3.216, 0.000]], "species": ["Ag", "Ag", "Br", "F"], "fractional_positions": [[0.250, 0.250, 0.250], [0.750, 0.750, 0.750], [0.000, 0.000, 0.000], [0.500, 0.500, 0.500]]}


The most stable arrangement is entry one, and the next structure is 0.017 eV/atom less stable.


Entry one
{"formula": "FeAg2Br", "functional": "PBEsol", "state": "relaxed", "lattice": [[0.000, 3.292, 3.292], [3.292, 0.000, 3.292], [3.292, 3.292, 0.000]], "species": ["Fe", "Ag", "Ag", "Br"], "fractional_positions": [[0.000, 0.000, 0.000], [0.250, 0.250, 0.250], [0.750, 0.750, 0.750], [0.500, 0.500, 0.500]]}


Entry two
{"formula": "FeAg2Br", "functional": "PBEsol", "state": "relaxed", "lattice": [[-1.897, 1.897, 4.941], [1.897, -1.897, 4.941], [1.897, 1.897, -4.941]], "species": ["Fe", "Ag", "Ag", "Br"], "fractional_positions": [[0.000, 0.000, 0.000], [0.250, 0.750, 0.500], [0.750, 0.250, 0.500], [0.500, 0.500, 0.000]]}


The most stable arrangement is entry two, and the next structure is 0.128 eV/atom less stable.


Entry one
{"formula": "AgHgBr", "functional": "PBEsol", "state": "relaxed", "lattice": [[0.000, 2.841, 5.923], [2.076, 0.000, 5.923], [2.076, 2.841, 0.000]], "species": ["Ag", "Hg", "Br"], "fractional_positions": [[0.000, 0.000, 0.000], [0.341, 0.341, 0.659], [0.648, 0.648, 0.352]]}


Entry two
{"formula": "AgHgBr", "functional": "PBEsol", "state": "relaxed", "lattice": [[3.769, 0.000, 0.000], [-1.884, 3.264, 0.000], [0.000, 0.000, 5.791]], "species": ["Ag", "Hg", "Br"], "fractional_positions": [[0.000, 0.000, 0.000], [0.667, 0.333, 0.310], [0.333, 0.667, 0.703]]}


The most stable arrangement is entry two, and the next structure is 0.098 eV/atom less stable.


Entry one
{"formula": "AgIBr2", "functional": "PBEsol", "state": "relaxed", "lattice": [[-4.065, 4.065, 3.272], [4.065, -4.065, 3.272], [4.065, 4.065, -3.272]], "species": ["Ag", "Ag", "I", "I", "Br", "Br", "Br", "Br"], "fractional_positions": [[0.000, 0.000, 0.000], [0.750, 0.250, 0.500], [0.250, 0.750, 0.500], [0.500, 0.500, 0.000], [0.054, 0.125, 0.429], [0.375, 0.946, 0.071], [0.696, 0.625, 0.571], [0.875, 0.304, 0.929]]}


Entry two
{"formula": "AgIBr2", "functional": "PBEsol", "state": "relaxed", "lattice": [[2.107, 1.217, 8.272], [-2.107, 1.217, 8.272], [0.000, -2.433, 8.272]], "species": ["Ag", "I", "Br", "Br"], "fractional_positions": [[0.000, 0.000, 0.000], [0.500, 0.500, 0.500], [0.390, 0.390, 0.390], [0.610, 0.610, 0.610]]}


The most stable arrangement is entry two, and the next structure is 0.217 eV/atom less stable.


Entry one
{"formula": "InAg2Br", "functional": "PBEsol", "state": "relaxed", "lattice": [[1.880, -2.769, 0.000], [1.880, 2.769, 0.000], [0.000, 0.000, 8.208]], "species": ["In", "Ag", "Ag", "Br"], "fractional_positions": [[0.000, 0.000, 0.000], [0.500, 0.500, 0.250], [0.500, 0.500, 0.750], [0.000, 0.000, 0.500]]}


Entry two
{"formula": "InAg2Br", "functional": "PBEsol", "state": "relaxed", "lattice": [[3.036, -4.951, 0.000], [3.036, 4.951, 0.000], [-2.011, 0.000, 2.866]], "species": ["In", "Ag", "Ag", "Br"], "fractional_positions": [[0.000, 0.000, 0.000], [0.000, 0.500, 0.000], [0.500, 0.000, 0.000], [0.500, 0.500, 0.000]]}


The most stable arrangement is entry one, and the next structure is 0.033 eV/atom less stable.


Entry one
{"formula": "KAg2Br", "functional": "PBEsol", "state": "relaxed", "lattice": [[6.718, -1.821, 0.000], [6.718, 1.821, 0.000], [-1.522, 0.000, 4.277]], "species": ["K", "Ag", "Ag", "Br"], "fractional_positions": [[0.000, 0.000, 0.000], [0.274, 0.274, 0.273], [0.726, 0.726, 0.727], [0.500, 0.500, 0.500]]}


Entry two
{"formula": "KAg2Br", "functional": "PBEsol", "state": "relaxed", "lattice": [[2.127, 1.228, 7.030], [-2.127, 1.228, 7.030], [0.000, -2.456, 7.030]], "species": ["K", "Ag", "Ag", "Br"], "fractional_positions": [[0.000, 0.000, 0.000], [0.225, 0.225, 0.225], [0.507, 0.507, 0.507], [0.762, 0.762, 0.762]]}


The most stable arrangement is entry one, and the next structure is 0.033 eV/atom less stable.


Entry one
{"formula": "Li2AgBr", "functional": "PBEsol", "state": "relaxed", "lattice": [[0.000, 3.414, 3.414], [3.414, 0.000, 3.414], [3.414, 3.414, 0.000]], "species": ["Li", "Li", "Ag", "Br"], "fractional_positions": [[0.000, 0.000, 0.000], [0.250, 0.250, 0.250], [0.750, 0.750, 0.750], [0.500, 0.500, 0.500]]}


Entry two
{"formula": "Li2AgBr", "functional": "PBEsol", "state": "relaxed", "lattice": [[0.000, 3.382, 3.382], [3.382, 0.000, 3.382], [3.382, 3.382, 0.000]], "species": ["Li", "Li", "Ag", "Br"], "fractional_positions": [[0.250, 0.250, 0.250], [0.750, 0.750, 0.750], [0.000, 0.000, 0.000], [0.500, 0.500, 0.500]]}


The most stable arrangement is entry two, and the next structure is 0.217 eV/atom less stable.


Entry one
{"formula": "LiAg2Br", "functional": "PBEsol", "state": "relaxed", "lattice": [[-1.730, 1.857, 6.379], [1.730, -1.857, 6.379], [1.730, 1.857, -6.379]], "species": ["Li", "Ag", "Ag", "Br"], "fractional_positions": [[0.000, 0.000, 0.000], [0.286, 0.786, 0.500], [0.714, 0.214, 0.500], [0.500, 0.500, 0.000]]}


Entry two
{"formula": "LiAg2Br", "functional": "PBEsol", "state": "relaxed", "lattice": [[3.496, 0.000, 0.000], [0.000, 3.442, 0.000], [-1.728, 0.000, 6.453]], "species": ["Li", "Ag", "Ag", "Br"], "fractional_positions": [[0.000, 0.000, 0.000], [0.229, 0.000, 0.462], [0.637, 0.500, 0.277], [0.422, 0.500, 0.843]]}


The most stable arrangement is entry two, and the next structure is 0.066 eV/atom less stable.


Entry one
{"formula": "MnAgBr", "functional": "PBEsol", "state": "relaxed", "lattice": [[3.358, 0.000, 0.000], [-1.679, 2.908, 0.000], [0.000, 0.000, 6.122]], "species": ["Mn", "Ag", "Br"], "fractional_positions": [[0.000, 0.000, 0.000], [0.333, 0.667, 0.698], [0.667, 0.333, 0.286]]}


Entry two
{"formula": "MnAgBr", "functional": "PBEsol", "state": "relaxed", "lattice": [[0.000, 3.194, 3.194], [3.194, 0.000, 3.194], [3.194, 3.194, 0.000]], "species": ["Mn", "Ag", "Br"], "fractional_positions": [[0.000, 0.000, 0.000], [0.500, 0.500, 0.500], [0.750, 0.750, 0.750]]}


The most stable arrangement is entry one, and the next structure is 0.579 eV/atom less stable.


Entry one
{"formula": "AgMo2Br", "functional": "PBEsol", "state": "relaxed", "lattice": [[1.580, 0.912, 8.538], [-1.580, 0.912, 8.538], [0.000, -1.824, 8.538]], "species": ["Ag", "Mo", "Mo", "Br"], "fractional_positions": [[0.000, 0.000, 0.000], [0.245, 0.245, 0.245], [0.513, 0.513, 0.513], [0.765, 0.765, 0.765]]}


Entry two
{"formula": "AgMo2Br", "functional": "PBEsol", "state": "relaxed", "lattice": [[3.105, 0.000, 0.000], [0.000, 4.514, 0.000], [0.000, 0.000, 4.795]], "species": ["Ag", "Mo", "Mo", "Br"], "fractional_positions": [[0.000, 0.000, 0.000], [0.000, 0.500, 0.500], [0.500, 0.000, 0.500], [0.500, 0.500, 0.000]]}


The most stable arrangement is entry one, and the next structure is 0.634 eV/atom less stable.


Entry one
{"formula": "Ag2MoBr", "functional": "PBEsol", "state": "relaxed", "lattice": [[2.938, 0.000, 0.000], [0.000, 4.609, 0.000], [0.000, 0.000, 5.163]], "species": ["Ag", "Ag", "Mo", "Br"], "fractional_positions": [[0.000, 0.000, 0.000], [0.500, 0.500, 0.000], [0.000, 0.500, 0.500], [0.500, 0.000, 0.500]]}


Entry two
{"formula": "Ag2MoBr", "functional": "PBEsol", "state": "relaxed", "lattice": [[1.566, -2.383, 0.000], [1.566, 2.383, 0.000], [0.000, 0.000, 9.536]], "species": ["Ag", "Ag", "Mo", "Br"], "fractional_positions": [[0.000, 0.000, 0.240], [0.000, 0.000, 0.760], [0.500, 0.500, 0.000], [0.500, 0.500, 0.500]]}


The most stable arrangement is entry two, and the next structure is 0.199 eV/atom less stable.


Entry one
{"formula": "NaAgBr2", "functional": "PBEsol", "state": "relaxed", "lattice": [[-3.172, 3.172, 6.266], [3.172, -3.172, 6.266], [3.172, 3.172, -6.266]], "species": ["Na", "Na", "Ag", "Ag", "Br", "Br", "Br", "Br"], "fractional_positions": [[0.000, 0.000, 0.000], [0.750, 0.250, 0.500], [0.250, 0.750, 0.500], [0.500, 0.500, 0.000], [0.147, 0.625, 0.022], [0.375, 0.397, 0.522], [0.603, 0.125, 0.978], [0.875, 0.853, 0.478]]}


Entry two
{"formula": "NaAgBr2", "functional": "PBEsol", "state": "relaxed", "lattice": [[2.182, 1.260, 7.869], [-2.182, 1.260, 7.869], [0.000, -2.519, 7.869]], "species": ["Na", "Ag", "Br", "Br"], "fractional_positions": [[0.000, 0.000, 0.000], [0.500, 0.500, 0.500], [0.397, 0.397, 0.397], [0.603, 0.603, 0.603]]}


The most stable arrangement is entry one, and the next structure is 0.043 eV/atom less stable.